# 1
# HgW2Se (GGA-PBE, optimized geometry)
# Mass density (g/cm3): 14.08
# Energy relative to the lowest polymorph listed for this composition (eV per atom): 0.347
# Calculated volume (Å³ per cell): 153
# Formation energy from raw total energies (eV/atom): 0.71
data_HgW2Se
_chemical_formula_sum 'Hg2 W4 Se2'
_cell_length_a 3.0991
_cell_length_b 4.8135
_cell_length_c 10.2370
_cell_angle_alpha 90.00
_cell_angle_beta 90.00
_cell_angle_gamma 90.00
_symmetry_space_group_name_H-M 'I m m 2'
_symmetry_Int_Tables_number 44
loop_
_symmetry_equiv_pos_as_xyz
'x,y,z'
'-x,-y,z'
'-x,y,z'
'x,-y,z'
'x+1/2,y+1/2,z+1/2'
'-x+1/2,-y+1/2,z+1/2'
'-x+1/2,y+1/2,z+1/2'
'x+1/2,-y+1/2,z+1/2'
loop_
_atom_site_label
_atom_site_fract_x
_atom_site_fract_y
_atom_site_fract_z
Hg1 0.0000 0.0000 0.0000
W1 0.0000 0.0000 0.5119
W2 0.0000 0.5000 0.2042
Se1 0.0000 0.5000 0.7832



# 2
# HgW2Se (GGA-PBE, optimized geometry)
# Mass density (g/cm3): 14.85
# Energy relative to the lowest polymorph listed for this composition (eV per atom): 0.526
# Calculated volume (Å³ per cell): 72
# Formation energy from raw total energies (eV/atom): 0.89
data_HgW2Se
_chemical_formula_sum 'Hg1 W2 Se1'
_cell_length_a 3.0071
_cell_length_b 4.2217
_cell_length_c 5.7070
_cell_angle_alpha 90.00
_cell_angle_beta 92.66
_cell_angle_gamma 90.00
_symmetry_space_group_name_H-M 'P 1 2/m 1'
_symmetry_Int_Tables_number 10
loop_
_symmetry_equiv_pos_as_xyz
'x,y,z'
'-x,-y,-z'
'-x,y,-z'
'x,-y,z'
loop_
_atom_site_label
_atom_site_fract_x
_atom_site_fract_y
_atom_site_fract_z
Hg1 0.0000 0.0000 0.0000
W1 0.4667 0.5000 0.7438
Se1 0.5000 0.0000 0.5000



# 3
# HgW2Se (GGA-PBE, optimized geometry)
# Mass density (g/cm3): 15.79
# Energy relative to the lowest polymorph listed for this composition (eV per atom): 0.598
# Calculated volume (Å³ per cell): 68
# Formation energy from raw total energies (eV/atom): 0.97
data_HgW2Se
_chemical_formula_sum 'Hg1 W2 Se1'
_cell_length_a 4.6916
_cell_length_b 4.6916
_cell_length_c 3.0923
_cell_angle_alpha 90.00
_cell_angle_beta 90.00
_cell_angle_gamma 90.00
_symmetry_space_group_name_H-M 'P 4/m m m'
_symmetry_Int_Tables_number 123
_symmetry_space_group_name_Hall '-P 4 2'
loop_
_atom_site_label
_atom_site_fract_x
_atom_site_fract_y
_atom_site_fract_z
Hg1 0.0000 0.0000 0.0000
W1 0.0000 0.5000 0.5000
Se1 0.5000 0.5000 0.0000



# 4
# HgW2Se (GGA-PBE, optimized geometry)
# Mass density (g/cm3): 13.83
# Energy relative to the lowest polymorph listed for this composition (eV per atom): 0.660
# Calculated volume (Å³ per cell): 311
# Formation energy from raw total energies (eV/atom): 1.03
data_HgW2Se
_chemical_formula_sum 'Hg4 W8 Se4'
_cell_length_a 4.0089
_cell_length_b 4.0089
_cell_length_c 19.3352
_cell_angle_alpha 90.00
_cell_angle_beta 90.00
_cell_angle_gamma 90.00
_symmetry_space_group_name_H-M 'I -4 2 d'
_symmetry_Int_Tables_number 122
_symmetry_space_group_name_Hall 'I -4 2bw'
loop_
_atom_site_label
_atom_site_fract_x
_atom_site_fract_y
_atom_site_fract_z
Hg1 0.0000 0.0000 0.0000
W1 0.2094 0.2500 0.6250
Se1 0.0000 0.0000 0.5000



# 5
# HgW2Se (GGA-PBE, optimized geometry)
# Mass density (g/cm3): 13.11
# Energy relative to the lowest polymorph listed for this composition (eV per atom): 0.352
# Calculated volume (Å³ per cell): 164
# Formation energy from raw total energies (eV/atom): 0.72
data_HgW2Se
_chemical_formula_sum 'Hg2 W4 Se2'
_cell_length_a 8.6963
_cell_length_b 3.1981
_cell_length_c 6.0250
_cell_angle_alpha 90.00
_cell_angle_beta 101.85
_cell_angle_gamma 90.00
_symmetry_space_group_name_H-M 'C 1 m 1'
_symmetry_Int_Tables_number 8
loop_
_symmetry_equiv_pos_as_xyz
'x,y,z'
'x,-y,z'
'x+1/2,y+1/2,z'
'x+1/2,-y+1/2,z'
loop_
_atom_site_label
_atom_site_fract_x
_atom_site_fract_y
_atom_site_fract_z
Hg1 0.0000 0.0000 0.0000
W1 0.0250 0.5000 0.5266
W2 0.2430 0.0000 0.7095
Se1 0.2774 0.5000 0.3702



# 6
# HgWSe4 (GGA-PBE, optimized geometry)
# Mass density (g/cm3): 8.81
# Calculated volume (Å³ per cell): 528
# Formation energy from raw total energies (eV/atom): 1.18
data_HgWSe4
_chemical_formula_sum 'Hg4 W4 Se16'
_cell_length_a 8.0822
_cell_length_b 8.0822
_cell_length_c 8.0822
_cell_angle_alpha 90.00
_cell_angle_beta 90.00
_cell_angle_gamma 90.00
_symmetry_space_group_name_H-M 'F -4 3 m'
_symmetry_Int_Tables_number 216
_symmetry_space_group_name_Hall 'F -4 2 3'
loop_
_atom_site_label
_atom_site_fract_x
_atom_site_fract_y
_atom_site_fract_z
Hg1 0.0000 0.0000 0.0000
W1 0.2500 0.2500 0.2500
Se1 0.1240 0.1240 0.6240



# 7
# HgW2Se (GGA-PBE, optimized geometry)
# Mass density (g/cm3): 15.11
# Energy relative to the lowest polymorph listed for this composition (eV per atom): 0.512
# Calculated volume (Å³ per cell): 142
# Formation energy from raw total energies (eV/atom): 0.88
data_HgW2Se
_chemical_formula_sum 'Hg2 W4 Se2'
_cell_length_a 3.0645
_cell_length_b 4.8871
_cell_length_c 9.5004
_cell_angle_alpha 90.00
_cell_angle_beta 90.00
_cell_angle_gamma 90.00
_symmetry_space_group_name_H-M 'I m m m'
_symmetry_Int_Tables_number 71
_symmetry_space_group_name_Hall '-I 2 2'
loop_
_atom_site_label
_atom_site_fract_x
_atom_site_fract_y
_atom_site_fract_z
Hg1 0.0000 0.0000 0.0000
W1 0.0000 0.5000 0.2190
Se1 0.0000 0.0000 0.5000



# 8
# HgW2Se (GGA-PBE, optimized geometry)
# Mass density (g/cm3): 13.44
# Energy relative to the lowest polymorph listed for this composition (eV per atom): 0.081
# Calculated volume (Å³ per cell): 160
# Formation energy from raw total energies (eV/atom): 0.45
data_HgW2Se
_chemical_formula_sum 'Hg2 W4 Se2'
_cell_length_a 3.2336
_cell_length_b 4.7621
_cell_length_c 10.3849
_cell_angle_alpha 90.00
_cell_angle_beta 90.00
_cell_angle_gamma 90.00
_symmetry_space_group_name_H-M 'C m m 2'
_symmetry_Int_Tables_number 35
loop_
_symmetry_equiv_pos_as_xyz
'x,y,z'
'-x,-y,z'
'-x,y,z'
'x,-y,z'
'x+1/2,y+1/2,z'
'-x+1/2,-y+1/2,z'
'-x+1/2,y+1/2,z'
'x+1/2,-y+1/2,z'
loop_
_atom_site_label
_atom_site_fract_x
_atom_site_fract_y
_atom_site_fract_z
Hg1 0.0000 0.0000 0.0000
W1 0.0000 0.0000 0.4483
W2 0.0000 0.5000 0.2490
Se1 0.0000 0.5000 0.6515



# 9
# HgW4Se (GGA-PBE, optimized geometry)
# Mass density (g/cm3): 15.26
# Calculated volume (Å³ per cell): 442
# Formation energy from raw total energies (eV/atom): 0.93
data_HgW4Se
_chemical_formula_sum 'Hg4 W16 Se4'
_cell_length_a 7.6152
_cell_length_b 7.6152
_cell_length_c 7.6152
_cell_angle_alpha 90.00
_cell_angle_beta 90.00
_cell_angle_gamma 90.00
_symmetry_space_group_name_H-M 'F -4 3 m'
_symmetry_Int_Tables_number 216
_symmetry_space_group_name_Hall 'F -4 2 3'
loop_
_atom_site_label
_atom_site_fract_x
_atom_site_fract_y
_atom_site_fract_z
Hg1 0.0000 0.0000 0.0000
W1 0.1263 0.1263 0.3737
Se1 0.2500 0.2500 0.7500



# 10
# HgW2Se (GGA-PBE, optimized geometry)
# Mass density (g/cm3): 14.40
# Energy relative to the lowest polymorph listed for this composition (eV per atom): 0.229
# Calculated volume (Å³ per cell): 75
# Formation energy from raw total energies (eV/atom): 0.60
data_HgW2Se
_chemical_formula_sum 'Hg1 W2 Se1'
_cell_length_a 3.0124
_cell_length_b 4.5941
_cell_length_c 5.5979
_cell_angle_alpha 90.00
_cell_angle_beta 105.49
_cell_angle_gamma 90.00
_symmetry_space_group_name_H-M 'P 1 m 1'
_symmetry_Int_Tables_number 6
loop_
_symmetry_equiv_pos_as_xyz
'x,y,z'
'x,-y,z'
loop_
_atom_site_label
_atom_site_fract_x
_atom_site_fract_y
_atom_site_fract_z
Hg1 0.0000 0.0000 0.0000
W1 0.3290 0.5000 0.6631
W2 0.7418 0.0000 0.4862
Se1 0.6438 0.5000 0.2899



# 11
# HgW3Se (GGA-PBE, optimized geometry)
# Mass density (g/cm3): 13.95
# Energy relative to the lowest polymorph listed for this composition (eV per atom): 0.000
# Calculated volume (Å³ per cell): 99
# Formation energy from raw total energies (eV/atom): 1.63
data_HgW3Se
_chemical_formula_sum 'Hg1 W3 Se1'
_cell_length_a 4.6250
_cell_length_b 4.6250
_cell_length_c 4.6250
_cell_angle_alpha 90.00
_cell_angle_beta 90.00
_cell_angle_gamma 90.00
_symmetry_space_group_name_H-M 'P m -3 m'
_symmetry_Int_Tables_number 221
_symmetry_space_group_name_Hall '-P 4 2 3'
loop_
_atom_site_label
_atom_site_fract_x
_atom_site_fract_y
_atom_site_fract_z
Hg1 0.0000 0.0000 0.0000
W1 0.0000 0.5000 0.5000
Se1 0.5000 0.5000 0.5000



# 12
# Y6HgSe3 (GGA-PBE, optimized geometry)
# Mass density (g/cm3): 5.86
# Calculated volume (Å³ per cell): 550
# Formation energy from raw total energies (eV/atom): -1.14
data_Y6HgSe3
_chemical_formula_sum 'Y12 Hg2 Se6'
_cell_length_a 12.1290
_cell_length_b 4.0373
_cell_length_c 12.5046
_cell_angle_alpha 90.00
_cell_angle_beta 116.10
_cell_angle_gamma 90.00
_symmetry_space_group_name_H-M 'P 1 21/m 1'
_symmetry_Int_Tables_number 11
loop_
_symmetry_equiv_pos_as_xyz
'x,y,z'
'-x,-y,-z'
'-x,y+1/2,-z'
'x,-y+1/2,z'
loop_
_atom_site_label
_atom_site_fract_x
_atom_site_fract_y
_atom_site_fract_z
Y1 0.0448 0.2500 0.3670
Y2 0.0891 0.2500 0.9272
Y3 0.2420 0.2500 0.7301
Y4 0.2807 0.7500 0.2302
Y5 0.4022 0.7500 0.5542
Y6 0.4533 0.2500 0.0947
Hg1 0.2769 0.7500 0.9261
Se1 0.0954 0.2500 0.1596
Se2 0.1536 0.7500 0.5483
Se3 0.4709 0.2500 0.7279



Number 7 is which compound? HgW2Se



The lowest formation energy from raw total energies belongs to which entry? Y6HgSe3